[1]
# Rb3H5S2, optimized geometry, DFT PBE
data_Rb3H5S2
_chemical_formula_sum 'Rb12 H20 S8'
_space_group_name_H-M_alt 'I b a m'
_space_group_IT_number 72
_space_group_name_Hall '-I 2 2c'
_cell_length_a 6.668
_cell_length_b 16.374
_cell_length_c 8.734
_cell_angle_alpha 90.00
_cell_angle_beta 90.00
_cell_angle_gamma 90.00
loop_
_atom_site_label
_atom_site_type_symbol
_atom_site_fract_x
_atom_site_fract_y
_atom_site_fract_z
Rb1 Rb 0.000 0.000 0.250
Rb2 Rb 0.032 0.372 0.000
H1 H 0.000 0.166 0.250
H2 H 0.000 0.500 0.250
H3 H 0.104 0.213 0.500
S1 S 0.040 0.155 0.000
# magnetization	0.0	μB/cell
# raw total energy	-115.850	eV/cell


[2]
# CeNdSbAs, optimized geometry, DFT PBE
data_CeNdSbAs
_chemical_formula_sum 'Ce3 Nd3 Sb3 As3'
_space_group_name_H-M_alt 'R 3 m'
_space_group_IT_number 160
_space_group_name_Hall 'R 3 -2"'
_cell_length_a 4.3608
_cell_length_b 4.3608
_cell_length_c 21.5946
_cell_angle_alpha 90.00
_cell_angle_beta 90.00
_cell_angle_gamma 120.00
loop_
_atom_site_label
_atom_site_type_symbol
_atom_site_fract_x
_atom_site_fract_y
_atom_site_fract_z
Ce1 Ce 0.0000 0.0000 0.0000
Nd1 Nd 0.0000 0.0000 0.4888
Sb1 Sb 0.0000 0.0000 0.2458
As1 As 0.0000 0.0000 0.7426
# magnetization	2.1	μB/cell
# raw total energy	-73.831	eV/cell
# ΔE_f (raw)	-1.284	eV/atom


[3]
# Nb3TlGe, optimized geometry, DFT PBE
data_Nb3TlGe
_chemical_formula_sum 'Nb3 Tl1 Ge1'
_space_group_name_H-M_alt 'P m -3 m'
_space_group_IT_number 221
_space_group_name_Hall '-P 4 2 3'
_cell_length_a 5.104
_cell_length_b 5.104
_cell_length_c 5.104
_cell_angle_alpha 90.00
_cell_angle_beta 90.00
_cell_angle_gamma 90.00
loop_
_atom_site_label
_atom_site_type_symbol
_atom_site_fract_x
_atom_site_fract_y
_atom_site_fract_z
Nb1 Nb 0.000 0.000 0.500
Tl1 Tl 0.000 0.000 0.000
Ge1 Ge 0.500 0.500 0.500
# magnetization	1.5	μB/cell
# raw total energy	-27.003	eV/cell
# E above lowest polymorph	119.58	kJ/mol of atoms
# calculated formation energy	10.19	eV/f.u.


[4]
# Hf2ZrAl9, optimized geometry, DFT PBE
data_Hf2ZrAl9
_chemical_formula_sum 'Hf6 Zr3 Al27'
_space_group_name_H-M_alt 'R -3 m'
_space_group_IT_number 166
_space_group_name_Hall '-R 3 2"'
_cell_length_a 5.2812
_cell_length_b 5.2812
_cell_length_c 26.0963
_cell_angle_alpha 90.00
_cell_angle_beta 90.00
_cell_angle_gamma 120.00
loop_
_atom_site_label
_atom_site_type_symbol
_atom_site_fract_x
_atom_site_fract_y
_atom_site_fract_z
Hf1 Hf 0.0000 0.0000 0.1461
Zr1 Zr 0.0000 0.0000 0.0000
Al1 Al 0.0000 0.0000 0.3338
Al2 Al 0.0000 0.0000 0.5000
Al3 Al 0.0053 0.5026 0.9143
# magnetization	0.0	μB/cell
# raw total energy	-194.287	eV/cell
# calculated formation energy	-2.62	eV/f.u.


[5]
# SrMnTlRu2, optimized geometry, DFT PBE
data_SrMnTlRu2
_chemical_formula_sum 'Sr1 Mn1 Tl1 Ru2'
_space_group_name_H-M_alt 'P 4/m m m'
_space_group_IT_number 123
_space_group_name_Hall '-P 4 2'
_cell_length_a 4.527
_cell_length_b 4.527
_cell_length_c 5.427
_cell_angle_alpha 90.00
_cell_angle_beta 90.00
_cell_angle_gamma 90.00
loop_
_atom_site_label
_atom_site_type_symbol
_atom_site_fract_x
_atom_site_fract_y
_atom_site_fract_z
Sr1 Sr 0.000 0.000 0.000
Mn1 Mn 0.000 0.000 0.500
Tl1 Tl 0.500 0.500 0.000
Ru1 Ru 0.000 0.500 0.500
# magnetization	1.3	μB/cell
# raw total energy	-27.281	eV/cell
# calculated formation energy	4.49	eV/f.u.


[6]
# ScTiTc2, optimized geometry, DFT PBE
data_ScTiTc2
_chemical_formula_sum 'Sc1 Ti1 Tc2'
_space_group_name_H-M_alt 'P 4/m m m'
_space_group_IT_number 123
_space_group_name_Hall '-P 4 2'
_cell_length_a 4.489
_cell_length_b 4.489
_cell_length_c 3.162
_cell_angle_alpha 90.00
_cell_angle_beta 90.00
_cell_angle_gamma 90.00
loop_
_atom_site_label
_atom_site_type_symbol
_atom_site_fract_x
_atom_site_fract_y
_atom_site_fract_z
Sc1 Sc 0.000 0.000 0.000
Ti1 Ti 0.500 0.500 0.000
Tc1 Tc 0.000 0.500 0.500
# magnetization	0.0	μB/cell
# raw total energy	-35.880	eV/cell
# calculated formation energy	-0.92	eV/f.u.


[7]
# PrEr2Lu, optimized geometry, DFT PBE
data_PrEr2Lu
_chemical_formula_sum 'Pr1 Er2 Lu1'
_space_group_name_H-M_alt 'P 4/m m m'
_space_group_IT_number 123
_space_group_name_Hall '-P 4 2'
_cell_length_a 3.543
_cell_length_b 3.543
_cell_length_c 10.079
_cell_angle_alpha 90.00
_cell_angle_beta 90.00
_cell_angle_gamma 90.00
loop_
_atom_site_label
_atom_site_type_symbol
_atom_site_fract_x
_atom_site_fract_y
_atom_site_fract_z
Pr1 Pr 0.000 0.000 0.000
Er1 Er 0.500 0.500 0.258
Lu1 Lu 0.000 0.000 0.500
# magnetization	0.0	μB/cell
# raw total energy	-18.289	eV/cell
# E above lowest polymorph	0.39	kJ/mol of atoms
# calculated formation energy	0.14	eV/f.u.


[8]
# LiPmMgAg, optimized geometry, DFT PBE
data_LiPmMgAg
_chemical_formula_sum 'Li4 Pm4 Mg4 Ag4'
_space_group_name_H-M_alt 'F -4 3 m'
_space_group_IT_number 216
_space_group_name_Hall 'F -4 2 3'
_cell_length_a 7.109
_cell_length_b 7.109
_cell_length_c 7.109
_cell_angle_alpha 90.00
_cell_angle_beta 90.00
_cell_angle_gamma 90.00
loop_
_atom_site_label
_atom_site_type_symbol
_atom_site_fract_x
_atom_site_fract_y
_atom_site_fract_z
Li1 Li 0.000 0.000 0.000
Pm1 Pm 0.250 0.250 0.750
Mg1 Mg 0.250 0.250 0.250
Ag1 Ag 0.000 0.000 0.500
# magnetization	0.0	μB/cell
# raw total energy	-47.030	eV/cell
# calculated formation energy	-0.65	eV/f.u.


> magnetization of number 4 (Hf2ZrAl9)?

0.0 μB/cell


Please write out number 4 again, unchanged.
# Hf2ZrAl9, optimized geometry, DFT PBE
data_Hf2ZrAl9
_chemical_formula_sum 'Hf6 Zr3 Al27'
_space_group_name_H-M_alt 'R -3 m'
_space_group_IT_number 166
_space_group_name_Hall '-R 3 2"'
_cell_length_a 5.2812
_cell_length_b 5.2812
_cell_length_c 26.0963
_cell_angle_alpha 90.00
_cell_angle_beta 90.00
_cell_angle_gamma 120.00
loop_
_atom_site_label
_atom_site_type_symbol
_atom_site_fract_x
_atom_site_fract_y
_atom_site_fract_z
Hf1 Hf 0.0000 0.0000 0.1461
Zr1 Zr 0.0000 0.0000 0.0000
Al1 Al 0.0000 0.0000 0.3338
Al2 Al 0.0000 0.0000 0.5000
Al3 Al 0.0053 0.5026 0.9143
# magnetization	0.0	μB/cell
# raw total energy	-194.287	eV/cell
# calculated formation energy	-2.62	eV/f.u.


> Number 3 is which compound?

Nb3TlGe


> Look up the raw total energy of the fifth one.

-27.281 eV/cell